Below is a relaxed AgWNO2 crystal, with properties calculated at the PBE+U level.

```
data_AgWNO2
_symmetry_space_group_name_H-M 'P 1'
_symmetry_Int_Tables_number 1
_symmetry_space_group_name_Hall 'P 1'
_cell_length_a 4.086
_cell_length_b 4.086
_cell_length_c 3.968
_cell_angle_alpha 90.00
_cell_angle_beta 90.00
_cell_angle_gamma 90.00
loop_
_atom_site_label
_atom_site_type_symbol
_atom_site_fract_x
_atom_site_fract_y
_atom_site_fract_z
O1 O 0.000 0.500 0.000
O2 O 0.500 0.000 0.000
Ag1 Ag 0.000 0.000 0.000
W1 W 0.500 0.500 0.500
N1 N 0.000 0.000 0.500
```

Results
Magnetic moment ... 2.18 μB per formula unit
Fermi-level density of states ... 0.244 states/eV/atom
E_tot ... -4.55 eV per atom
V ... 66.2 Å³ per cell